AcLa6TbNd2 after structural relaxation. Source: the Alexandria database, functional GGA-PBE.

abc: 6.842 6.842 10.162
angles: 112.81 112.81 60.32
Atoms (fractional coordinates):
Ac: 0.000 0.000 0.000
La: 0.082 0.538 0.668
La: 0.356 0.356 0.080
La: 0.462 0.918 0.332
La: 0.538 0.082 0.668
La: 0.644 0.644 0.920
La: 0.918 0.462 0.332
Tb: 0.500 0.500 0.500
Nd: 0.067 0.067 0.692
Nd: 0.933 0.933 0.308

- formation energy from the elements (eV/atom) = 0.173
- size of the total moment (μB/cell) = 0.00
- space group = C2/m
- crystal system = monoclinic